Record 1
# TbSmY2Ho6, optimized geometry, DFT PBE
data_TbSmY2Ho6
_chemical_formula_sum 'Tb4 Sm4 Y8 Ho24'
_symmetry_space_group_name_H-M 'C 1 2/c 1'
_symmetry_Int_Tables_number 15
_cell_length_a 9.1249
_cell_length_b 14.9927
_cell_length_c 9.4592
_cell_angle_alpha 90.00
_cell_angle_beta 96.43
_cell_angle_gamma 90.00
loop_
_symmetry_equiv_pos_as_xyz
'x,y,z'
'-x,-y,-z'
'-x,y,-z+1/2'
'x,-y,z+1/2'
'x+1/2,y+1/2,z'
'-x+1/2,-y+1/2,-z'
'-x+1/2,y+1/2,-z+1/2'
'x+1/2,-y+1/2,z+1/2'
loop_
_atom_site_label
_atom_site_type_symbol
_atom_site_fract_x
_atom_site_fract_y
_atom_site_fract_z
Tb1 Tb 0.0000 0.0904 0.2500
Sm1 Sm 0.0000 0.4715 0.7500
Y1 Y 0.2497 0.0514 0.9528
Ho1 Ho 0.0626 0.3158 0.4423
Ho2 Ho 0.0975 0.1109 0.6171
Ho3 Ho 0.2084 0.2740 0.8165
# - density (g/cm3) = 7.63
# - N(E_F) (states/eV/cell) = 60.299
# - calculated formation energy (eV/atom) = 0.1265

***

Record 2
# DyZr3Ru4, optimized geometry, DFT PBE
data_DyZr3Ru4
_chemical_formula_sum 'Dy3 Zr9 Ru12'
_symmetry_space_group_name_H-M 'R -3 m'
_symmetry_Int_Tables_number 166
_symmetry_space_group_name_Hall '-R 3 2"'
_cell_length_a 4.6676
_cell_length_b 4.6676
_cell_length_c 22.9993
_cell_angle_alpha 90.00
_cell_angle_beta 90.00
_cell_angle_gamma 120.00
loop_
_atom_site_label
_atom_site_type_symbol
_atom_site_fract_x
_atom_site_fract_y
_atom_site_fract_z
Dy1 Dy 0.0000 0.0000 0.0000
Zr1 Zr 0.0000 0.0000 0.2491
Zr2 Zr 0.0000 0.0000 0.5000
Ru1 Ru 0.0000 0.0000 0.1276
Ru2 Ru 0.0000 0.0000 0.3782
# - density (g/cm3) = 9.65
# - N(E_F) (states/eV/cell) = 4.374
# - calculated formation energy (eV/atom) = -0.5856

***

Record 3
# Sr3SnSe4, optimized geometry, DFT PBE
data_Sr3SnSe4
_chemical_formula_sum 'Sr6 Sn2 Se8'
_symmetry_space_group_name_H-M 'P m n 21'
_symmetry_Int_Tables_number 31
_cell_length_a 10.5824
_cell_length_b 9.1033
_cell_length_c 6.2153
_cell_angle_alpha 90.00
_cell_angle_beta 90.00
_cell_angle_gamma 90.00
loop_
_symmetry_equiv_pos_as_xyz
'x,y,z'
'-x+1/2,-y,z+1/2'
'-x,y,z'
'x+1/2,-y,z+1/2'
loop_
_atom_site_label
_atom_site_type_symbol
_atom_site_fract_x
_atom_site_fract_y
_atom_site_fract_z
Sr1 Sr 0.0000 0.1608 0.0000
Sr2 Sr 0.2496 0.3315 0.4998
Sn1 Sn 0.0000 0.8301 0.4835
Se1 Se 0.0000 0.1585 0.4989
Se2 Se 0.0000 0.8288 0.0285
Se3 Se 0.2490 0.6693 0.4988
# - formation energy (no corrections) (eV/atom) = -1.544
# - density (g/cm3) = 3.87
# - N(E_F) (states/eV/cell) = 0.000

***

Record 4
# HfTi4Cd, optimized geometry, DFT PBE
data_HfTi4Cd
_chemical_formula_sum 'Hf4 Ti16 Cd4'
_symmetry_space_group_name_H-M 'F -4 3 m'
_symmetry_Int_Tables_number 216
_symmetry_space_group_name_Hall 'F -4 2 3'
_cell_length_a 7.6693
_cell_length_b 7.6693
_cell_length_c 7.6693
_cell_angle_alpha 90.00
_cell_angle_beta 90.00
_cell_angle_gamma 90.00
loop_
_atom_site_label
_atom_site_type_symbol
_atom_site_fract_x
_atom_site_fract_y
_atom_site_fract_z
Hf1 Hf 0.0000 0.0000 0.0000
Ti1 Ti 0.1281 0.1281 0.6281
Cd1 Cd 0.2500 0.2500 0.2500
# - density (g/cm3) = 7.10
# - N(E_F) (states/eV/cell) = 40.232
# - calculated formation energy (eV/atom) = 0.1596

***

Record 5
# Sc3ZnIr, optimized geometry, DFT PBE
data_Sc3ZnIr
_chemical_formula_sum 'Sc3 Zn1 Ir1'
_symmetry_space_group_name_H-M 'P m -3 m'
_symmetry_Int_Tables_number 221
_symmetry_space_group_name_Hall '-P 4 2 3'
_cell_length_a 4.8437
_cell_length_b 4.8437
_cell_length_c 4.8437
_cell_angle_alpha 90.00
_cell_angle_beta 90.00
_cell_angle_gamma 90.00
loop_
_atom_site_label
_atom_site_type_symbol
_atom_site_fract_x
_atom_site_fract_y
_atom_site_fract_z
Sc1 Sc 0.0000 0.0000 0.5000
Zn1 Zn 0.0000 0.0000 0.0000
Ir1 Ir 0.5000 0.5000 0.5000
# - density (g/cm3) = 5.74
# - N(E_F) (states/eV/cell) = 11.980
# - calculated formation energy (eV/atom) = 0.4849

***

Record 6
# TaBe2Fe, optimized geometry, DFT PBE
data_TaBe2Fe
_chemical_formula_sum 'Ta2 Be4 Fe2'
_symmetry_space_group_name_H-M 'I m m m'
_symmetry_Int_Tables_number 71
_symmetry_space_group_name_Hall '-I 2 2'
_cell_length_a 3.0875
_cell_length_b 3.9596
_cell_length_c 7.6838
_cell_angle_alpha 90.00
_cell_angle_beta 90.00
_cell_angle_gamma 90.00
loop_
_atom_site_label
_atom_site_type_symbol
_atom_site_fract_x
_atom_site_fract_y
_atom_site_fract_z
Ta1 Ta 0.0000 0.0000 0.0000
Be1 Be 0.0000 0.5000 0.2350
Fe1 Fe 0.0000 0.0000 0.5000
# - density (g/cm3) = 9.01
# - N(E_F) (states/eV/cell) = 5.657
# - calculated formation energy (eV/atom) = 0.0923